A relaxed structure of Li2Bi2Pd15. Source: Alexandria, functional PBE.

Unit cell a=6.993 b=6.993 c=6.993 alpha=80.83 beta=80.83 gamma=80.83
Sites, in units of the cell vectors:
Li  0.098  0.098  0.098
Li  0.902  0.902  0.902
Bi  0.350  0.350  0.350
Bi  0.650  0.650  0.650
Pd  0.500  0.000  0.000
Pd  0.000  0.000  0.500
Pd  0.000  0.500  0.000
Pd  0.000  0.673  0.327
Pd  0.673  0.327  0.000
Pd  0.327  0.000  0.673
Pd  0.327  0.673  0.000
Pd  0.673  0.000  0.327
Pd  0.000  0.327  0.673
Pd  0.166  0.664  0.664
Pd  0.664  0.664  0.166
Pd  0.664  0.166  0.664
Pd  0.834  0.336  0.336
Pd  0.336  0.336  0.834
Pd  0.336  0.834  0.336

Summary:
ΔE_f: -82.7 meV/atom
Total magnetization: 0.0 Bohr magnetons per cell